## w
{"formula": "Nd2Dy3Er2", "functional": "PBE", "state": "optimized geometry", "cell": [[-2.061, -1.710, -2.264], [6.730, -1.403, -5.067], [-0.942, -5.009, 7.357]], "species": ["Nd", "Nd", "Dy", "Dy", "Dy", "Er", "Er"], "fractional_positions": [[0.567, 0.913, 0.134], [0.433, 0.087, 0.866], [0.000, 0.500, 0.000], [0.212, 0.798, 0.423], [0.788, 0.202, 0.577], [0.850, 0.665, 0.699], [0.150, 0.335, 0.301]], "spacegroup": "C2/m (12)", "dos_ef_per_ev_cell": 10.6}



## x
{"formula": "Nd2Dy3Er2", "functional": "PBE", "state": "optimized geometry", "cell": [[-2.682, -1.776, -1.479], [0.075, -0.473, 13.118], [-3.432, 4.086, 1.316]], "species": ["Nd", "Nd", "Dy", "Dy", "Dy", "Er", "Er"], "fractional_positions": [[0.742, 0.161, 0.419], [0.258, 0.839, 0.581], [0.000, 0.000, 0.000], [0.677, 0.451, 0.274], [0.323, 0.549, 0.726], [0.432, 0.287, 0.856], [0.568, 0.713, 0.144]], "spacegroup": "P-1 (2)", "dos_ef_per_ev_cell": 11.1}



In order of decreasing stability: x, w.



## w
{"formula": "NdDyEr3", "functional": "PBE", "state": "optimized geometry", "cell": [[8.169, 0.000, -4.957], [0.000, 5.660, 0.000], [-3.366, 0.000, 8.946]], "species": ["Nd", "Nd", "Dy", "Dy", "Er", "Er", "Er", "Er", "Er", "Er"], "fractional_positions": [[0.231, 0.450, 0.431], [0.769, 0.950, 0.569], [0.367, 0.950, 0.966], [0.633, 0.450, 0.034], [0.964, 0.950, 0.365], [0.835, 0.450, 0.835], [0.434, 0.450, 0.233], [0.566, 0.950, 0.767], [0.165, 0.950, 0.165], [0.036, 0.450, 0.635]], "spacegroup": "P2_1/m (11)", "dos_ef_per_ev_cell": 19.2}



## x
{"formula": "NdDyEr3", "functional": "PBE", "state": "optimized geometry", "cell": [[-0.684, -0.185, 3.556], [8.492, 0.078, -0.215], [-0.091, 11.515, 0.582]], "species": ["Nd", "Nd", "Dy", "Dy", "Er", "Er", "Er", "Er", "Er", "Er"], "fractional_positions": [[0.307, 0.115, 0.250], [0.693, 0.885, 0.750], [0.981, 0.463, 0.250], [0.019, 0.537, 0.750], [0.846, 0.191, 0.998], [0.154, 0.809, 0.002], [0.846, 0.191, 0.502], [0.154, 0.809, 0.498], [0.644, 0.789, 0.250], [0.356, 0.211, 0.750]], "spacegroup": "Cmcm (63)", "dos_ef_per_ev_cell": 16.4}



In order of decreasing stability: w, x.



## w
{"formula": "Nd12Dy7Er", "functional": "PBE", "state": "optimized geometry", "cell": [[8.727, 0.842, 1.265], [-1.617, 8.617, 1.265], [-1.617, -2.152, 8.440]], "species": ["Nd", "Nd", "Nd", "Nd", "Nd", "Nd", "Nd", "Nd", "Nd", "Nd", "Nd", "Nd", "Dy", "Dy", "Dy", "Dy", "Dy", "Dy", "Dy", "Er"], "fractional_positions": [[0.824, 0.251, 0.689], [0.749, 0.311, 0.176], [0.485, 0.149, 0.415], [0.851, 0.585, 0.515], [0.311, 0.176, 0.749], [0.585, 0.515, 0.851], [0.415, 0.485, 0.149], [0.689, 0.824, 0.251], [0.149, 0.415, 0.485], [0.515, 0.851, 0.585], [0.251, 0.689, 0.824], [0.176, 0.749, 0.311], [0.912, 0.650, 0.973], [0.350, 0.027, 0.088], [0.027, 0.088, 0.350], [0.500, 0.500, 0.500], [0.973, 0.912, 0.650], [0.650, 0.973, 0.912], [0.088, 0.350, 0.027], [0.000, 0.000, 0.000]], "spacegroup": "R-3 (148)", "dos_ef_per_ev_cell": 27.2}



## x
{"formula": "Nd12Dy7Er", "functional": "PBE", "state": "optimized geometry", "cell": [[-0.736, 6.004, -1.531], [4.450, -4.121, -9.820], [-10.916, -2.890, 2.388]], "species": ["Nd", "Nd", "Nd", "Nd", "Nd", "Nd", "Nd", "Nd", "Nd", "Nd", "Nd", "Nd", "Dy", "Dy", "Dy", "Dy", "Dy", "Dy", "Dy", "Er"], "fractional_positions": [[0.088, 0.588, 0.175], [0.088, 0.175, 0.588], [0.585, 0.647, 0.000], [0.416, 0.000, 0.353], [0.500, 0.412, 0.588], [0.062, 0.647, 0.647], [0.938, 0.353, 0.353], [0.500, 0.588, 0.412], [0.584, 0.000, 0.647], [0.415, 0.353, 0.000], [0.912, 0.825, 0.412], [0.912, 0.412, 0.825], [0.125, 0.756, 0.000], [0.875, 0.000, 0.245], [0.631, 0.755, 0.756], [0.500, 0.000, 0.000], [0.369, 0.245, 0.244], [0.125, 0.000, 0.755], [0.875, 0.244, 0.000], [0.000, 0.000, 0.000]], "spacegroup": "R-3m (166)", "dos_ef_per_ev_cell": 27.8}



In order of decreasing stability: x, w.



## w
{"formula": "Nd3Dy3Er2", "functional": "PBE", "state": "optimized geometry", "cell": [[-1.370, -3.455, -4.637], [5.294, 1.168, -2.435], [0.941, -4.710, 7.040]], "species": ["Nd", "Nd", "Nd", "Dy", "Dy", "Dy", "Er", "Er"], "fractional_positions": [[0.371, 0.871, 0.741], [0.500, 0.500, 0.000], [0.629, 0.129, 0.259], [0.874, 0.374, 0.748], [0.126, 0.626, 0.252], [0.000, 0.000, 0.000], [0.751, 0.751, 0.502], [0.249, 0.249, 0.498]], "spacegroup": "Immm (71)", "dos_ef_per_ev_cell": 17.4}



## x
{"formula": "Nd3Dy3Er2", "functional": "PBE", "state": "optimized geometry", "cell": [[-2.633, 1.205, -4.157], [-0.763, -4.926, -0.944], [-6.829, 2.128, 8.028]], "species": ["Nd", "Nd", "Nd", "Dy", "Dy", "Dy", "Er", "Er"], "fractional_positions": [[0.126, 0.126, 0.252], [0.000, 0.500, 0.000], [0.874, 0.874, 0.748], [0.627, 0.627, 0.254], [0.373, 0.373, 0.746], [0.500, 0.000, 0.000], [0.751, 0.251, 0.501], [0.249, 0.749, 0.499]], "spacegroup": "Immm (71)", "dos_ef_per_ev_cell": 12.0}



In order of decreasing stability: x, w.



## w
{"formula": "Nd3Dy2Er4", "functional": "PBE", "state": "optimized geometry", "cell": [[-2.766, 0.980, -2.033], [4.810, -3.717, -5.203], [-3.647, -10.041, 0.124]], "species": ["Nd", "Nd", "Nd", "Dy", "Dy", "Er", "Er", "Er", "Er"], "fractional_positions": [[0.334, 0.668, 0.557], [0.000, 0.000, 0.000], [0.666, 0.332, 0.443], [0.333, 0.666, 0.220], [0.667, 0.334, 0.780], [0.667, 0.334, 0.110], [0.000, 0.000, 0.668], [0.000, 0.000, 0.332], [0.333, 0.666, 0.890]], "spacegroup": "C2/m (12)", "dos_ef_per_ev_cell": 11.3}



## x
{"formula": "Nd3Dy2Er4", "functional": "PBE", "state": "optimized geometry", "cell": [[5.713, 1.613, 1.155], [1.980, 11.033, 0.736], [1.980, 4.252, 10.207]], "species": ["Nd", "Nd", "Nd", "Nd", "Nd", "Nd", "Dy", "Dy", "Dy", "Dy", "Er", "Er", "Er", "Er", "Er", "Er", "Er", "Er"], "fractional_positions": [[0.751, 0.061, 0.272], [0.749, 0.728, 0.939], [0.249, 0.939, 0.728], [0.251, 0.272, 0.061], [0.250, 0.607, 0.393], [0.750, 0.393, 0.607], [0.423, 0.250, 0.514], [0.077, 0.486, 0.750], [0.577, 0.750, 0.486], [0.923, 0.514, 0.250], [0.421, 0.917, 0.182], [0.079, 0.818, 0.083], [0.579, 0.083, 0.818], [0.921, 0.182, 0.917], [0.082, 0.149, 0.417], [0.418, 0.583, 0.851], [0.918, 0.851, 0.583], [0.582, 0.417, 0.149]], "spacegroup": "C2/c (15)", "dos_ef_per_ev_cell": 27.2}



In order of decreasing stability: w, x.



## w
{"formula": "Nd7Dy3Er", "functional": "PBE", "state": "optimized geometry", "cell": [[-2.384, 3.419, -4.201], [-4.168, -7.486, 0.445], [-3.874, 1.416, 7.523]], "species": ["Nd", "Nd", "Nd", "Nd", "Nd", "Nd", "Nd", "Dy", "Dy", "Dy", "Er"], "fractional_positions": [[0.211, 0.210, 0.210], [0.307, 0.018, 0.597], [0.693, 0.403, 0.982], [0.307, 0.597, 0.018], [0.000, 0.500, 0.500], [0.693, 0.982, 0.403], [0.789, 0.790, 0.790], [0.000, 0.795, 0.205], [0.500, 0.000, 0.000], [0.000, 0.205, 0.795], [0.500, 0.500, 0.500]], "spacegroup": "C2/m (12)", "dos_ef_per_ev_cell": 14.7}



## x
{"formula": "Nd7Dy3Er", "functional": "PBE", "state": "optimized geometry", "cell": [[-2.881, -9.895, 0.118], [7.945, 5.845, 2.995], [-1.767, 6.170, 10.908]], "species": ["Nd", "Nd", "Nd", "Nd", "Nd", "Nd", "Nd", "Nd", "Nd", "Nd", "Nd", "Nd", "Nd", "Nd", "Dy", "Dy", "Dy", "Dy", "Dy", "Dy", "Er", "Er"], "fractional_positions": [[0.162, 0.846, 0.273], [0.154, 0.838, 0.773], [0.084, 0.419, 0.471], [0.088, 0.420, 0.975], [0.581, 0.916, 0.971], [0.580, 0.912, 0.475], [0.291, 0.291, 0.750], [0.709, 0.709, 0.250], [0.419, 0.084, 0.029], [0.420, 0.088, 0.525], [0.912, 0.580, 0.025], [0.916, 0.581, 0.529], [0.846, 0.162, 0.227], [0.838, 0.154, 0.727], [0.327, 0.669, 0.726], [0.000, 0.000, 0.000], [0.000, 0.000, 0.500], [0.331, 0.673, 0.226], [0.669, 0.327, 0.774], [0.673, 0.331, 0.274], [0.500, 0.500, 0.000], [0.500, 0.500, 0.500]], "spacegroup": "C2/c (15)", "dos_ef_per_ev_cell": 33.3}



In order of decreasing stability: x, w.



## w
{"formula": "Nd2Dy4Er5", "functional": "PBE", "state": "optimized geometry", "cell": [[-2.431, 2.473, -0.366], [-4.730, -3.652, 6.738], [9.227, 7.262, 4.395]], "species": ["Nd", "Nd", "Dy", "Dy", "Dy", "Dy", "Er", "Er", "Er", "Er", "Er"], "fractional_positions": [[0.267, 0.267, 0.535], [0.733, 0.733, 0.465], [0.000, 0.308, 0.000], [0.597, 0.597, 0.194], [0.000, 0.692, 0.000], [0.403, 0.403, 0.806], [0.859, 0.053, 0.718], [0.859, 0.665, 0.718], [0.141, 0.335, 0.282], [0.141, 0.947, 0.282], [0.500, 0.000, 0.000]], "spacegroup": "Immm (71)", "dos_ef_per_ev_cell": 16.5}



## x
{"formula": "Nd2Dy4Er5", "functional": "PBE", "state": "optimized geometry", "cell": [[3.511, -0.518, -0.040], [-2.300, 8.895, -1.956], [1.847, -0.484, 11.616]], "species": ["Nd", "Nd", "Dy", "Dy", "Dy", "Dy", "Er", "Er", "Er", "Er", "Er"], "fractional_positions": [[0.863, 0.271, 0.817], [0.137, 0.729, 0.183], [0.772, 0.454, 0.364], [0.314, 0.361, 0.093], [0.228, 0.546, 0.636], [0.686, 0.639, 0.907], [0.956, 0.093, 0.274], [0.044, 0.907, 0.726], [0.590, 0.819, 0.457], [0.500, 0.000, 0.000], [0.410, 0.181, 0.543]], "spacegroup": "P-1 (2)", "dos_ef_per_ev_cell": 14.6}



In order of decreasing stability: x, w.



## w
{"formula": "Nd3DyEr3", "functional": "PBE", "state": "optimized geometry", "cell": [[-2.368, -1.059, -5.133], [-2.503, -8.805, 2.971], [-6.028, 7.399, 1.254]], "species": ["Nd", "Nd", "Nd", "Nd", "Nd", "Nd", "Dy", "Dy", "Er", "Er", "Er", "Er", "Er", "Er"], "fractional_positions": [[0.750, 0.756, 0.806], [0.750, 0.050, 0.244], [0.750, 0.194, 0.950], [0.250, 0.244, 0.194], [0.250, 0.950, 0.756], [0.250, 0.806, 0.050], [0.750, 0.333, 0.667], [0.250, 0.667, 0.333], [0.250, 0.520, 0.616], [0.250, 0.095, 0.479], [0.250, 0.384, 0.905], [0.750, 0.480, 0.384], [0.750, 0.905, 0.521], [0.750, 0.616, 0.095]], "spacegroup": "P6_3/m (176)", "dos_ef_per_ev_cell": 24.4}



## x
{"formula": "Nd3DyEr3", "functional": "PBE", "state": "optimized geometry", "cell": [[-4.489, -4.211, 0.796], [-1.006, -4.321, -4.339], [7.553, -11.609, 5.370]], "species": ["Nd", "Nd", "Nd", "Nd", "Nd", "Nd", "Dy", "Dy", "Er", "Er", "Er", "Er", "Er", "Er"], "fractional_positions": [[0.200, 0.869, 0.392], [0.539, 0.200, 0.392], [0.869, 0.539, 0.392], [0.131, 0.461, 0.608], [0.461, 0.800, 0.608], [0.800, 0.131, 0.608], [0.667, 0.667, 0.000], [0.333, 0.333, 0.000], [0.936, 0.269, 0.193], [0.602, 0.936, 0.193], [0.269, 0.602, 0.193], [0.731, 0.398, 0.807], [0.398, 0.064, 0.807], [0.064, 0.731, 0.807]], "spacegroup": "R-3 (148)", "dos_ef_per_ev_cell": 22.3}



In order of decreasing stability: w, x.